Entry 1:
## Sb2RuC6O6F12 (PBE)

Data for an optimized crystal structure of Sb2RuC6O6F12.

abc: 8.400 8.400 12.618
angles: 90.00 90.00 90.00
Sites, in units of the cell vectors:
F  0.339  0.161  0.250
F  0.392  0.881  0.641
F  0.339  0.161  0.750
F  0.839  0.339  0.250
F  0.892  0.619  0.141
F  0.161  0.661  0.750
F  0.608  0.119  0.359
F  0.619  0.108  0.141
F  0.892  0.619  0.859
F  0.119  0.392  0.641
F  0.381  0.892  0.141
F  0.161  0.661  0.250
F  0.108  0.381  0.141
F  0.381  0.892  0.859
F  0.108  0.381  0.859
F  0.881  0.608  0.641
F  0.839  0.339  0.750
F  0.661  0.839  0.750
F  0.392  0.881  0.359
F  0.619  0.108  0.859
F  0.881  0.608  0.359
F  0.608  0.119  0.641
F  0.119  0.392  0.359
F  0.661  0.839  0.250
C  0.500  0.500  0.659
C  0.298  0.629  0.500
C  0.000  0.000  0.841
C  0.129  0.798  0.000
C  0.000  0.000  0.159
C  0.629  0.702  0.500
C  0.202  0.129  0.000
C  0.798  0.871  0.000
C  0.500  0.500  0.341
C  0.702  0.371  0.500
C  0.871  0.202  0.000
C  0.371  0.298  0.500
O  0.799  0.317  0.000
O  0.000  0.000  0.751
O  0.701  0.817  0.500
O  0.500  0.500  0.251
O  0.299  0.183  0.500
O  0.000  0.000  0.249
O  0.817  0.299  0.500
O  0.500  0.500  0.749
O  0.183  0.701  0.500
O  0.683  0.799  0.000
O  0.317  0.201  0.000
O  0.201  0.683  0.000
Sb  0.500  0.000  0.250
Sb  0.500  0.000  0.750
Sb  0.000  0.500  0.750
Sb  0.000  0.500  0.250
Ru  0.500  0.500  0.500
Ru  0.000  0.000  0.000

Computed properties:
Energy ... -6.19 eV per atom

=====

Entry 2:
## ZrMnFe (PBE)

Data for an optimized crystal structure of ZrMnFe.

abc: 4.979 4.979 4.979
angles: 89.86 119.88 120.28
Last column: magnetic moment on the atom in μB.
Sites, in units of the cell vectors:
Zr  0.250  0.125  0.875  -0.41
Zr  0.750  0.875  0.125  -0.41
Fe  0.500  0.000  0.500  1.56
Fe  0.000  0.500  0.500  1.56
Mn  0.000  0.500  0.000  1.59
Mn  0.500  0.500  0.500  1.59

Computed properties:
E_form ... -0.68 eV per formula unit